Entry 1:
DFT (PBE-GGA) results for a relaxed SrTaNO2 crystal.

Geometry as CIF:
```
data_SrTaNO2
_space_group_name_H-M_alt 'P 1'
_space_group_IT_number 1
_space_group_name_Hall 'P 1'
_cell_length_a 5.742
_cell_length_b 5.749
_cell_length_c 8.178
_cell_angle_alpha 90.02
_cell_angle_beta 90.13
_cell_angle_gamma 90.03
loop_
_atom_site_label
_atom_site_fract_x
_atom_site_fract_y
_atom_site_fract_z
Sr1 0.000 0.000 0.000
Sr2 0.007 0.005 0.525
Sr3 0.494 0.496 0.999
Sr4 0.508 0.505 0.523
Ta1 0.002 0.512 0.760
Ta2 0.006 0.498 0.272
Ta3 0.503 0.985 0.767
Ta4 0.509 0.001 0.249
N1 0.253 0.756 0.762
N2 0.500 0.026 0.011
N3 0.753 0.731 0.780
N4 0.994 0.513 0.503
O1 0.044 0.449 0.008
O2 0.243 0.764 0.250
O3 0.291 0.260 0.727
O4 0.293 0.267 0.282
O5 0.541 0.964 0.501
O6 0.742 0.715 0.228
O7 0.790 0.222 0.751
O8 0.796 0.212 0.261
```

- energy (eV per cell) = -174.98
- mass density (g/cm³) = 7.74

Entry 2:
DFT (PBE-GGA) results for a relaxed Rb2AgAuI6 crystal.

Geometry as CIF:
```
data_Rb2AgAuI6
_space_group_name_H-M_alt 'I 4/m m m'
_space_group_IT_number 139
_space_group_name_Hall '-I 4 2'
_cell_length_a 8.300
_cell_length_b 8.300
_cell_length_c 12.483
_cell_angle_alpha 90.00
_cell_angle_beta 90.00
_cell_angle_gamma 90.00
loop_
_atom_site_label
_atom_site_fract_x
_atom_site_fract_y
_atom_site_fract_z
Rb1 0.000 0.500 0.250
Ag1 0.000 0.000 0.000
Au1 0.000 0.000 0.500
I1 0.000 0.000 0.216
I2 0.230 0.230 0.500
```

- energy (eV per cell) = -48.03
- mass density (g/cm³) = 4.78

Entry 3:
DFT (PBE-GGA) results for a relaxed YZr2Ni crystal.

Geometry as CIF:
```
data_YZr2Ni
_space_group_name_H-M_alt 'P 4 m m'
_space_group_IT_number 99
_space_group_name_Hall 'P 4 -2'
_cell_length_a 3.283
_cell_length_b 3.283
_cell_length_c 8.115
_cell_angle_alpha 90.00
_cell_angle_beta 90.00
_cell_angle_gamma 90.00
loop_
_atom_site_label
_atom_site_fract_x
_atom_site_fract_y
_atom_site_fract_z
Y1 0.000 0.000 0.000
Zr1 0.000 0.000 0.588
Zr2 0.500 0.500 0.329
Ni1 0.500 0.500 0.762
```

- formation energy from the elements (eV per atom) = -0.162
- mass density (g/cm³) = 6.27

Entry 4:
DFT (PBE-GGA) results for a relaxed Te2OsAu crystal.

Geometry as CIF:
```
data_Te2OsAu
_space_group_name_H-M_alt 'P 1 2/m 1'
_space_group_IT_number 10
_space_group_name_Hall '-P 2y'
_cell_length_a 5.200
_cell_length_b 4.021
_cell_length_c 5.822
_cell_angle_alpha 90.00
_cell_angle_beta 116.29
_cell_angle_gamma 90.00
loop_
_atom_site_label
_atom_site_fract_x
_atom_site_fract_y
_atom_site_fract_z
Te1 0.161 0.000 0.322
Os1 0.000 0.500 0.000
Au1 0.500 0.500 0.000
```

- energy (eV per cell) = -18.88
- mass density (g/cm³) = 9.78

Entry 5:
DFT (PBE-GGA) results for a relaxed Zr2ScHAu crystal.

Geometry as CIF:
```
data_Zr2ScHAu
_space_group_name_H-M_alt 'P 4/m m m'
_space_group_IT_number 123
_space_group_name_Hall '-P 4 2'
_cell_length_a 4.351
_cell_length_b 4.351
_cell_length_c 4.526
_cell_angle_alpha 90.00
_cell_angle_beta 90.00
_cell_angle_gamma 90.00
loop_
_atom_site_label
_atom_site_fract_x
_atom_site_fract_y
_atom_site_fract_z
Zr1 0.000 0.500 0.000
Sc1 0.000 0.000 0.500
H1 0.000 0.000 0.000
Au1 0.500 0.500 0.500
```

- energy (eV per cell) = -31.91
- mass density (g/cm³) = 8.24

Entry 6:
DFT (PBE-GGA) results for a relaxed Pa2MoPdN5 crystal.

Geometry as CIF:
```
data_Pa2MoPdN5
_space_group_name_H-M_alt 'C m c 21'
_space_group_IT_number 36
_space_group_name_Hall 'C 2c -2'
_cell_length_a 3.296
_cell_length_b 13.282
_cell_length_c 10.088
_cell_angle_alpha 90.00
_cell_angle_beta 90.00
_cell_angle_gamma 90.00
loop_
_atom_site_label
_atom_site_fract_x
_atom_site_fract_y
_atom_site_fract_z
Pa1 0.000 0.115 0.000
Pa2 0.000 0.139 0.613
Mo1 0.000 0.190 0.316
Pd1 0.000 0.485 0.780
N1 0.000 0.058 0.395
N2 0.000 0.287 0.961
N3 0.000 0.305 0.652
N4 0.000 0.351 0.312
N5 0.000 0.492 0.077
```

- energy (eV per cell) = -334.31
- mass density (g/cm³) = 11.05

Entry 7:
DFT (PBE-GGA) results for a relaxed P2RhC crystal.

Geometry as CIF:
```
data_P2RhC
_space_group_name_H-M_alt 'I -4 2 d'
_space_group_IT_number 122
_space_group_name_Hall 'I -4 2bw'
_cell_length_a 5.063
_cell_length_b 5.063
_cell_length_c 8.399
_cell_angle_alpha 90.00
_cell_angle_beta 90.00
_cell_angle_gamma 90.00
loop_
_atom_site_label
_atom_site_fract_x
_atom_site_fract_y
_atom_site_fract_z
P1 0.189 0.250 0.125
Rh1 0.000 0.000 0.500
C1 0.000 0.000 0.000
```

- formation energy from the elements (eV per atom) = 0.091
- mass density (g/cm³) = 5.46

Entry 8:
DFT (PBE-GGA) results for a relaxed Sc2NbRu4 crystal.

Geometry as CIF:
```
data_Sc2NbRu4
_space_group_name_H-M_alt 'I 4/m m m'
_space_group_IT_number 139
_space_group_name_Hall '-I 4 2'
_cell_length_a 4.417
_cell_length_b 4.417
_cell_length_c 12.402
_cell_angle_alpha 90.00
_cell_angle_beta 90.00
_cell_angle_gamma 90.00
loop_
_atom_site_label
_atom_site_fract_x
_atom_site_fract_y
_atom_site_fract_z
Sc1 0.000 0.000 0.239
Nb1 0.000 0.000 0.500
Ru1 0.000 0.500 0.116
```

- formation energy from the elements (eV per atom) = -0.033
- mass density (g/cm³) = 8.06

Repeat the second record exactly.
DFT (PBE-GGA) results for a relaxed Rb2AgAuI6 crystal.

Geometry as CIF:
```
data_Rb2AgAuI6
_space_group_name_H-M_alt 'I 4/m m m'
_space_group_IT_number 139
_space_group_name_Hall '-I 4 2'
_cell_length_a 8.300
_cell_length_b 8.300
_cell_length_c 12.483
_cell_angle_alpha 90.00
_cell_angle_beta 90.00
_cell_angle_gamma 90.00
loop_
_atom_site_label
_atom_site_fract_x
_atom_site_fract_y
_atom_site_fract_z
Rb1 0.000 0.500 0.250
Ag1 0.000 0.000 0.000
Au1 0.000 0.000 0.500
I1 0.000 0.000 0.216
I2 0.230 0.230 0.500
```

- energy (eV per cell) = -48.03
- mass density (g/cm³) = 4.78